Computed, not measured: a relaxed structure of Be2TcRhO at the PBE level of DFT.

CIF file:
```
data_Be2TcRhO
_cell_length_a 4.065
_cell_length_b 4.065
_cell_length_c 4.747
_cell_angle_alpha 90.00
_cell_angle_beta 90.00
_cell_angle_gamma 90.00
_symmetry_space_group_name_H-M 'P 4/m m m'
_symmetry_Int_Tables_number 123
_symmetry_space_group_name_Hall '-P 4 2'
loop_
_atom_site_label
_atom_site_type_symbol
_atom_site_fract_x
_atom_site_fract_y
_atom_site_fract_z
Be1 Be 0.000 0.500 0.000
Tc1 Tc 0.000 0.000 0.500
Rh1 Rh 0.000 0.000 0.000
O1 O 0.500 0.500 0.500
```

Values from the calculation:
- V: 15.7 Å³/atom
- DOS(E_F): 2.5 states/eV/cell
- Total energy: -0.18125 hartree per atom